1.
A relaxed TbTm4Al2 crystal, computed with PBE-GGA.

Values from the calculation:
- Crystal system: monoclinic
- Calculated density: 7.701 Mg/m³
- Relative energy among the computed polymorphs: 0.0 kJ/mol of atoms

```
data_TbTm4Al2
_chemical_formula_sum 'Tb2 Tm8 Al4'
_cell_length_a 6.089
_cell_length_b 10.292
_cell_length_c 6.652
_cell_angle_alpha 90.00
_cell_angle_beta 113.16
_cell_angle_gamma 90.00
_space_group_name_H-M_alt 'P 1 21/c 1'
_space_group_IT_number 14
loop_
_space_group_symop_operation_xyz
'x,y,z'
'-x,-y,-z'
'-x,y+1/2,-z+1/2'
'x,-y+1/2,z+1/2'
loop_
_atom_site_label
_atom_site_type_symbol
_atom_site_fract_x
_atom_site_fract_y
_atom_site_fract_z
_atom_site_occupancy
Tb1 Tb 0.000 0.000 0.000 1
Tm1 Tm 0.006 0.163 0.500 1
Tm2 Tm 0.494 0.714 0.498 1
Al1 Al 0.466 0.501 0.181 1
```

2.
A relaxed Be2InCu crystal, computed with PBE-GGA.

Values from the calculation:
- Crystal system: tetragonal
- Calculated density: 6.303 Mg/m³

```
data_Be2InCu
_chemical_formula_sum 'Be4 In2 Cu2'
_cell_length_a 3.781
_cell_length_b 3.781
_cell_length_c 7.238
_cell_angle_alpha 90.00
_cell_angle_beta 90.00
_cell_angle_gamma 90.00
_space_group_name_H-M_alt 'I 4/m m m'
_space_group_IT_number 139
_space_group_name_Hall '-I 4 2'
loop_
_atom_site_label
_atom_site_type_symbol
_atom_site_fract_x
_atom_site_fract_y
_atom_site_fract_z
_atom_site_occupancy
Be1 Be 0.000 0.500 0.250 1
In1 In 0.000 0.000 0.000 1
Cu1 Cu 0.000 0.000 0.500 1
```

| no. | size of the total moment (μB/f.u.) | E_tot (eV/atom) | N(E_F) (states/eV per cell) |
| --- | --- | --- | --- |
| 1 | 0.0 | -4.37 | 15.16 |
| 2 | 0.0 | -3.22 | 2.39 |